# 1
{"formula": "Ca3Zn2Cu", "functional": "PBE", "state": "relaxed", "lattice": [[4.427, 0.000, 0.000], [0.000, 11.838, 0.000], [0.000, 0.000, 11.965]], "species": ["Ca", "Ca", "Ca", "Ca", "Ca", "Ca", "Ca", "Ca", "Ca", "Ca", "Ca", "Ca", "Zn", "Zn", "Zn", "Zn", "Zn", "Zn", "Zn", "Zn", "Cu", "Cu", "Cu", "Cu"], "frac_coords": [[0.250, 0.374, 0.051], [0.750, 0.626, 0.949], [0.750, 0.874, 0.449], [0.250, 0.126, 0.551], [0.250, 0.699, 0.215], [0.750, 0.301, 0.785], [0.750, 0.199, 0.285], [0.250, 0.801, 0.715], [0.250, 0.439, 0.384], [0.750, 0.561, 0.616], [0.750, 0.939, 0.116], [0.250, 0.061, 0.884], [0.250, 0.686, 0.472], [0.750, 0.314, 0.528], [0.750, 0.186, 0.028], [0.250, 0.814, 0.972], [0.250, 0.000, 0.297], [0.750, 0.000, 0.703], [0.750, 0.500, 0.203], [0.250, 0.500, 0.797], [0.250, 0.128, 0.124], [0.750, 0.872, 0.876], [0.750, 0.628, 0.376], [0.250, 0.372, 0.624]], "magmom_total_mub_per_fu": 0.00, "e_form_ev_per_atom": -0.2058, "n_ef_per_ev_cell": 18.58}

***

# 2
{"formula": "CaZn4Cu", "functional": "PBE", "state": "relaxed", "lattice": [[-1.539, 3.611, -0.452], [-4.745, -1.419, 4.816], [4.790, 2.733, 5.524]], "species": ["Ca", "Ca", "Zn", "Zn", "Zn", "Zn", "Zn", "Zn", "Zn", "Zn", "Cu", "Cu"], "frac_coords": [[0.000, 0.611, 0.750], [0.000, 0.389, 0.250], [0.000, 0.000, 0.500], [0.000, 0.000, 0.000], [0.500, 0.950, 0.750], [0.500, 0.050, 0.250], [0.500, 0.702, 0.055], [0.500, 0.298, 0.945], [0.500, 0.702, 0.445], [0.500, 0.298, 0.555], [0.000, 0.202, 0.750], [0.000, 0.798, 0.250]], "magmom_total_mub_per_fu": 0.00, "de_polymorph_mev_per_atom": 0.0, "e_form_ev_per_atom": -0.1723, "n_ef_per_ev_cell": 4.62}